# 1
{"formula": "ScReCl2", "functional": "PBE-GGA", "state": "relaxed", "magnetic_moment_mub_per_fu": 0.00, "spacegroup": "Cmm2", "raw_formation_energy_ev_per_atom": -0.3410, "cell": [[3.252, 0.000, 0.000], [0.000, 5.422, 0.000], [0.000, 0.000, 9.554]], "species": ["Sc", "Sc", "Re", "Re", "Cl", "Cl", "Cl", "Cl"], "frac_coords": [[0.000, 0.000, 0.000], [0.500, 0.500, 0.000], [0.000, 0.500, 0.231], [0.500, 0.000, 0.231], [0.000, 0.000, 0.422], [0.000, 0.500, 0.804], [0.500, 0.000, 0.804], [0.500, 0.500, 0.422]]}

# 2
{"formula": "ScRe2Cl", "functional": "PBE-GGA", "state": "relaxed", "magnetic_moment_mub_per_fu": 0.00, "spacegroup": "Pmmm", "raw_formation_energy_ev_per_atom": 0.5020, "cell": [[2.971, 0.000, 0.000], [0.000, 4.508, 0.000], [0.000, 0.000, 5.441]], "species": ["Sc", "Re", "Re", "Cl"], "frac_coords": [[0.000, 0.000, 0.000], [0.500, 0.500, 0.207], [0.500, 0.500, 0.793], [0.000, 0.000, 0.500]]}

# 3
{"formula": "ScRe2Cl", "functional": "PBE-GGA", "state": "relaxed", "magnetic_moment_mub_per_fu": 0.00, "spacegroup": "Fm-3m", "raw_formation_energy_ev_per_atom": 1.2282, "cell": [[6.382, 0.000, 0.000], [0.000, 6.382, 0.000], [0.000, 0.000, 6.382]], "species": ["Sc", "Sc", "Sc", "Sc", "Re", "Re", "Re", "Re", "Re", "Re", "Re", "Re", "Cl", "Cl", "Cl", "Cl"], "frac_coords": [[0.000, 0.000, 0.000], [0.000, 0.500, 0.500], [0.500, 0.000, 0.500], [0.500, 0.500, 0.000], [0.250, 0.250, 0.250], [0.250, 0.250, 0.750], [0.250, 0.750, 0.250], [0.250, 0.750, 0.750], [0.750, 0.250, 0.250], [0.750, 0.250, 0.750], [0.750, 0.750, 0.250], [0.750, 0.750, 0.750], [0.000, 0.000, 0.500], [0.000, 0.500, 0.000], [0.500, 0.000, 0.000], [0.500, 0.500, 0.500]]}

# 4
{"formula": "ScReCl2", "functional": "PBE-GGA", "state": "relaxed", "magnetic_moment_mub_per_fu": 0.00, "spacegroup": "Cm", "raw_formation_energy_ev_per_atom": -0.1476, "cell": [[15.574, 0.000, 0.000], [0.000, 3.067, 0.000], [-0.942, 0.000, 3.734]], "species": ["Sc", "Sc", "Re", "Re", "Cl", "Cl", "Cl", "Cl"], "frac_coords": [[0.000, 0.000, 0.000], [0.500, 0.500, 0.000], [0.142, 0.500, 0.140], [0.642, 0.000, 0.140], [0.177, 0.000, 0.674], [0.416, 0.000, 0.417], [0.677, 0.500, 0.674], [0.916, 0.500, 0.417]]}

# 5
{"formula": "Sc2ReCl", "functional": "PBE-GGA", "state": "relaxed", "magnetic_moment_mub_per_fu": 0.00, "spacegroup": "P4mm", "raw_formation_energy_ev_per_atom": -0.1962, "cell": [[3.830, 0.000, 0.000], [0.000, 3.830, 0.000], [0.000, 0.000, 5.454]], "species": ["Sc", "Sc", "Re", "Cl"], "frac_coords": [[0.000, 0.000, 0.000], [0.500, 0.500, 0.401], [0.500, 0.500, 0.952], [0.000, 0.000, 0.484]]}

# 6
{"formula": "ScRe2Cl", "functional": "PBE-GGA", "state": "relaxed", "magnetic_moment_mub_per_fu": 0.00, "spacegroup": "I-4m2", "raw_formation_energy_ev_per_atom": 0.6028, "cell": [[4.863, 0.000, 0.000], [0.000, 4.863, 0.000], [0.000, 0.000, 5.583]], "species": ["Sc", "Sc", "Re", "Re", "Re", "Re", "Cl", "Cl"], "frac_coords": [[0.000, 0.000, 0.000], [0.500, 0.500, 0.500], [0.000, 0.000, 0.500], [0.000, 0.500, 0.250], [0.500, 0.000, 0.750], [0.500, 0.500, 0.000], [0.000, 0.500, 0.750], [0.500, 0.000, 0.250]]}

# 7
{"formula": "ScReCl2", "functional": "PBE-GGA", "state": "relaxed", "magnetic_moment_mub_per_fu": 4.00, "spacegroup": "F-43m", "raw_formation_energy_ev_per_atom": 0.6099, "cell": [[6.850, 0.000, 0.000], [0.000, 6.850, 0.000], [0.000, 0.000, 6.850]], "species": ["Sc", "Sc", "Sc", "Sc", "Re", "Re", "Re", "Re", "Cl", "Cl", "Cl", "Cl", "Cl", "Cl", "Cl", "Cl"], "frac_coords": [[0.000, 0.000, 0.000], [0.000, 0.500, 0.500], [0.500, 0.000, 0.500], [0.500, 0.500, 0.000], [0.250, 0.250, 0.750], [0.250, 0.750, 0.250], [0.750, 0.250, 0.250], [0.750, 0.750, 0.750], [0.000, 0.000, 0.500], [0.000, 0.500, 0.000], [0.250, 0.250, 0.250], [0.250, 0.750, 0.750], [0.500, 0.000, 0.000], [0.500, 0.500, 0.500], [0.750, 0.250, 0.750], [0.750, 0.750, 0.250]]}

# 8
{"formula": "ScReCl", "functional": "PBE-GGA", "state": "relaxed", "magnetic_moment_mub_per_fu": 0.00, "spacegroup": "I4mm", "raw_formation_energy_ev_per_atom": -0.0513, "cell": [[2.889, 0.000, 0.000], [0.000, 2.889, 0.000], [0.000, 0.000, 15.190]], "species": ["Sc", "Sc", "Re", "Re", "Cl", "Cl"], "frac_coords": [[0.000, 0.000, 0.000], [0.500, 0.500, 0.500], [0.000, 0.000, 0.366], [0.500, 0.500, 0.866], [0.000, 0.000, 0.612], [0.500, 0.500, 0.112]]}

# 9
{"formula": "ScReCl", "functional": "PBE-GGA", "state": "relaxed", "magnetic_moment_mub_per_fu": 0.84, "spacegroup": "P3m1", "raw_formation_energy_ev_per_atom": -0.1398, "cell": [[3.107, 0.000, 0.000], [-1.553, 2.690, 0.000], [0.000, 0.000, 7.443]], "species": ["Sc", "Re", "Cl"], "frac_coords": [[0.000, 0.000, 0.000], [0.333, 0.667, 0.723], [0.667, 0.333, 0.242]]}

# 10
{"formula": "Sc2ReCl", "functional": "PBE-GGA", "state": "relaxed", "magnetic_moment_mub_per_fu": 0.00, "spacegroup": "C2/m", "raw_formation_energy_ev_per_atom": -0.6749, "cell": [[4.868, 0.000, 0.000], [0.000, 4.410, 0.000], [-1.958, 0.000, 7.565]], "species": ["Sc", "Sc", "Sc", "Sc", "Re", "Re", "Cl", "Cl"], "frac_coords": [[0.087, 0.000, 0.205], [0.413, 0.500, 0.795], [0.587, 0.500, 0.205], [0.913, 0.000, 0.795], [0.000, 0.500, 0.000], [0.500, 0.000, 0.000], [0.000, 0.500, 0.500], [0.500, 0.000, 0.500]]}

# 11
{"formula": "Sc2ReCl", "functional": "PBE-GGA", "state": "relaxed", "magnetic_moment_mub_per_fu": 0.00, "spacegroup": "I-42d", "raw_formation_energy_ev_per_atom": 0.2292, "cell": [[5.922, 0.000, 0.000], [0.000, 5.922, 0.000], [0.000, 0.000, 11.804]], "species": ["Sc", "Sc", "Sc", "Sc", "Sc", "Sc", "Sc", "Sc", "Re", "Re", "Re", "Re", "Cl", "Cl", "Cl", "Cl"], "frac_coords": [[0.225, 0.250, 0.125], [0.250, 0.725, 0.375], [0.250, 0.775, 0.875], [0.275, 0.250, 0.625], [0.725, 0.750, 0.625], [0.750, 0.225, 0.875], [0.750, 0.275, 0.375], [0.775, 0.750, 0.125], [0.000, 0.000, 0.000], [0.000, 0.500, 0.250], [0.500, 0.000, 0.750], [0.500, 0.500, 0.500], [0.000, 0.000, 0.500], [0.000, 0.500, 0.750], [0.500, 0.000, 0.250], [0.500, 0.500, 0.000]]}

# 12
{"formula": "Sc4ReCl", "functional": "PBE-GGA", "state": "relaxed", "magnetic_moment_mub_per_fu": 0.00, "spacegroup": "F-43m", "raw_formation_energy_ev_per_atom": 0.7003, "cell": [[0.000, 4.008, 4.008], [4.008, 0.000, 4.008], [4.008, 4.008, 0.000]], "species": ["Sc", "Sc", "Sc", "Sc", "Re", "Cl"], "frac_coords": [[0.379, 0.379, 0.379], [0.379, 0.379, 0.864], [0.379, 0.864, 0.379], [0.864, 0.379, 0.379], [0.750, 0.750, 0.750], [0.000, 0.000, 0.000]]}

# 13
{"formula": "ScReCl2", "functional": "PBE-GGA", "state": "relaxed", "magnetic_moment_mub_per_fu": 0.00, "spacegroup": "Immm", "raw_formation_energy_ev_per_atom": -0.2864, "cell": [[3.611, 0.000, 0.000], [0.000, 4.138, 0.000], [0.000, 0.000, 12.667]], "species": ["Sc", "Sc", "Re", "Re", "Cl", "Cl", "Cl", "Cl"], "frac_coords": [[0.000, 0.000, 0.000], [0.500, 0.500, 0.500], [0.000, 0.000, 0.500], [0.500, 0.500, 0.000], [0.000, 0.500, 0.135], [0.000, 0.500, 0.865], [0.500, 0.000, 0.365], [0.500, 0.000, 0.635]]}

# 14
{"formula": "ScRe2Cl2", "functional": "PBE-GGA", "state": "relaxed", "magnetic_moment_mub_per_fu": 0.00, "spacegroup": "P4/mbm", "raw_formation_energy_ev_per_atom": 0.8925, "cell": [[8.168, 0.000, 0.000], [0.000, 8.168, 0.000], [0.000, 0.000, 2.883]], "species": ["Sc", "Sc", "Re", "Re", "Re", "Re", "Cl", "Cl", "Cl", "Cl"], "frac_coords": [[0.000, 0.000, 0.000], [0.500, 0.500, 0.000], [0.106, 0.394, 0.000], [0.394, 0.894, 0.000], [0.606, 0.106, 0.000], [0.894, 0.606, 0.000], [0.231, 0.731, 0.500], [0.269, 0.231, 0.500], [0.731, 0.769, 0.500], [0.769, 0.269, 0.500]]}

# 15
{"formula": "ScRe2Cl", "functional": "PBE-GGA", "state": "relaxed", "magnetic_moment_mub_per_fu": 0.00, "spacegroup": "Cmmm", "raw_formation_energy_ev_per_atom": 0.6138, "cell": [[3.000, 0.000, 0.000], [0.000, 4.865, 0.000], [0.000, 0.000, 9.082]], "species": ["Sc", "Sc", "Re", "Re", "Re", "Re", "Cl", "Cl"], "frac_coords": [[0.000, 0.000, 0.000], [0.500, 0.500, 0.000], [0.000, 0.500, 0.254], [0.000, 0.500, 0.746], [0.500, 0.000, 0.254], [0.500, 0.000, 0.746], [0.000, 0.000, 0.500], [0.500, 0.500, 0.500]]}

# 16
{"formula": "ScRe2Cl", "functional": "PBE-GGA", "state": "relaxed", "magnetic_moment_mub_per_fu": 0.00, "spacegroup": "Cmm2", "raw_formation_energy_ev_per_atom": 0.0423, "cell": [[3.240, 0.000, 0.000], [0.000, 4.780, 0.000], [0.000, 0.000, 9.839]], "species": ["Sc", "Sc", "Re", "Re", "Re", "Re", "Cl", "Cl"], "frac_coords": [[0.000, 0.000, 0.000], [0.500, 0.500, 0.000], [0.000, 0.000, 0.571], [0.000, 0.500, 0.771], [0.500, 0.000, 0.771], [0.500, 0.500, 0.571], [0.000, 0.500, 0.189], [0.500, 0.000, 0.189]]}

# 17
{"formula": "ScReCl2", "functional": "PBE-GGA", "state": "relaxed", "magnetic_moment_mub_per_fu": 1.34, "spacegroup": "P4/mmm", "raw_formation_energy_ev_per_atom": 0.0415, "cell": [[2.926, 0.000, 0.000], [0.000, 2.926, 0.000], [0.000, 0.000, 10.752]], "species": ["Sc", "Re", "Cl", "Cl"], "frac_coords": [[0.000, 0.000, 0.000], [0.000, 0.000, 0.500], [0.500, 0.500, 0.147], [0.500, 0.500, 0.853]]}

# 18
{"formula": "ScRe2Cl", "functional": "PBE-GGA", "state": "relaxed", "magnetic_moment_mub_per_fu": 0.00, "spacegroup": "R-3m", "raw_formation_energy_ev_per_atom": 0.5951, "cell": [[2.920, 0.000, 0.000], [-1.460, 2.528, 0.000], [0.000, 0.000, 26.896]], "species": ["Sc", "Sc", "Sc", "Re", "Re", "Re", "Re", "Re", "Re", "Cl", "Cl", "Cl"], "frac_coords": [[0.000, 0.000, 0.000], [0.333, 0.667, 0.667], [0.667, 0.333, 0.333], [0.000, 0.000, 0.247], [0.000, 0.000, 0.753], [0.333, 0.667, 0.420], [0.333, 0.667, 0.914], [0.667, 0.333, 0.086], [0.667, 0.333, 0.580], [0.000, 0.000, 0.500], [0.333, 0.667, 0.167], [0.667, 0.333, 0.833]]}

# 19
{"formula": "Sc2ReCl", "functional": "PBE-GGA", "state": "relaxed", "magnetic_moment_mub_per_fu": 0.00, "spacegroup": "R-3m", "raw_formation_energy_ev_per_atom": -0.4136, "cell": [[3.350, 0.000, 0.000], [-1.675, 2.901, 0.000], [0.000, 0.000, 26.431]], "species": ["Sc", "Sc", "Sc", "Sc", "Sc", "Sc", "Re", "Re", "Re", "Cl", "Cl", "Cl"], "frac_coords": [[0.000, 0.000, 0.095], [0.000, 0.000, 0.905], [0.333, 0.667, 0.572], [0.333, 0.667, 0.761], [0.667, 0.333, 0.239], [0.667, 0.333, 0.428], [0.000, 0.000, 0.500], [0.333, 0.667, 0.167], [0.667, 0.333, 0.833], [0.000, 0.000, 0.000], [0.333, 0.667, 0.667], [0.667, 0.333, 0.333]]}

# 20
{"formula": "Sc2ReCl", "functional": "PBE-GGA", "state": "relaxed", "magnetic_moment_mub_per_fu": 0.00, "spacegroup": "Amm2", "raw_formation_energy_ev_per_atom": -0.3646, "cell": [[4.596, 0.000, 0.000], [0.000, 3.196, 0.000], [0.000, 0.000, 10.037]], "species": ["Sc", "Sc", "Sc", "Sc", "Re", "Re", "Cl", "Cl"], "frac_coords": [[0.000, 0.000, 0.000], [0.000, 0.500, 0.500], [0.500, 0.000, 0.281], [0.500, 0.500, 0.781], [0.000, 0.000, 0.745], [0.000, 0.500, 0.245], [0.500, 0.000, 0.545], [0.500, 0.500, 0.045]]}